Record 1
Density functional theory data (PBE) for a geometry-optimized TbHo2Lu structure.

Computed properties:
VASP energy	-4.433	eV/atom
energy of formation from the pure elements	0.144	eV/atom

POSCAR file:
```
TbHo2Lu
1.0
5.602 0.000 0.000
2.801 4.851 0.000
2.801 1.617 4.574
Tb Lu Ho
1 1 2
direct
0.000 0.000 0.000
0.500 0.500 0.500
0.250 0.250 0.250
0.750 0.750 0.750
```

***

Record 2
Density functional theory data (PBE) for a geometry-optimized BaLiCl structure.

Computed properties:
VASP energy	-2.885	eV/atom
raw formation energy	-0.99	eV/atom

POSCAR file:
```
BaLiCl
1.0
4.033 0.000 0.000
-2.016 3.492 0.000
0.000 0.000 7.151
Cl Li Ba
1 1 1
direct
0.667 0.333 0.392
0.333 0.667 0.560
0.000 0.000 0.048
```

***

Record 3
Density functional theory data (PBE) for a geometry-optimized K3Dy3PuS8 structure.

Computed properties:
VASP energy	-6.084	eV/atom
raw formation energy	-1.79	eV/atom

POSCAR file:
```
K3Dy3PuS8
1.0
8.052 0.000 0.000
-4.026 6.974 -0.028
0.000 -4.622 7.490
S K Dy Pu
8 3 3 1
direct
0.229 0.966 0.695
0.771 0.034 0.305
0.734 0.467 0.700
0.229 0.457 0.695
0.738 0.966 0.695
0.262 0.034 0.305
0.771 0.543 0.305
0.266 0.533 0.300
0.500 0.500 0.000
0.000 0.500 0.000
0.000 0.000 0.000
0.500 0.000 0.500
0.000 0.500 0.500
0.500 0.500 0.500
0.000 0.000 0.500
```